First-principles (PBEsol) data for TaAsPCl2 after structural relaxation, as listed in Alexandria.

Results
For the total magnetization, the calculation gives 2.8 μB/f.u. The formation energy from raw total energies is 1.036 eV per atom. As for the electronic total energy: -4.457 eV/atom.

```
TaAsPCl2
1.0
4.606 0.000 0.000
0.000 4.606 0.000
0.000 0.000 5.066
Ta As P Cl
1 1 1 2
direct
0.000 0.000 0.000 Ta
0.500 0.500 0.500 As
0.500 0.500 0.000 P
0.000 0.500 0.500 Cl
0.500 0.000 0.500 Cl
```



First-principles (PBEsol) data for ZnAgHRu2 after structural relaxation, as listed in Alexandria.

Results
For the total magnetization, the calculation gives 2.2 μB/f.u. As for the electronic total energy: -4.529 eV/atom.

```
ZnAgHRu2
1.0
4.825 0.000 0.000
0.000 4.825 0.000
0.000 0.000 2.858
Zn Ag H Ru
1 1 1 2
direct
0.000 0.000 0.000 Zn
0.500 0.500 0.500 Ag
0.000 0.000 0.500 H
0.000 0.500 0.000 Ru
0.500 0.000 0.000 Ru
```



First-principles (PBEsol) data for NaAuSe2 after structural relaxation, as listed in Alexandria.

Results
For the total magnetization, the calculation gives 0.0 μB/f.u. The formation energy from raw total energies is -0.034 eV per atom. As for the electronic total energy: -3.290 eV/atom.

```
NaAuSe2
1.0
0.000 3.396 3.396
3.396 0.000 3.396
3.396 3.396 0.000
Na Au Se
1 1 2
direct
0.000 0.000 0.000 Na
0.500 0.500 0.500 Au
0.250 0.250 0.250 Se
0.750 0.750 0.750 Se
```



First-principles (PBEsol) data for Zr2MoRuPb after structural relaxation, as listed in Alexandria.

Results
For the total magnetization, the calculation gives 2.4 μB/f.u. As for the formation energy from the elements: 0.954 eV per atom. As for the electronic total energy: -7.870 eV/atom.

```
Zr2MoRuPb
1.0
4.840 0.000 0.000
0.000 4.840 0.000
0.000 0.000 5.033
Zr Mo Ru Pb
2 1 1 1
direct
0.000 0.500 0.000 Zr
0.500 0.000 0.000 Zr
0.000 0.000 0.500 Mo
0.500 0.500 0.000 Ru
0.500 0.500 0.500 Pb
```



First-principles (PBEsol) data for MoIrRu2 after structural relaxation, as listed in Alexandria.

Results
For the total magnetization, the calculation gives 0.0 μB/f.u. As for the formation energy from the elements: -0.173 eV per atom. The value obtained for the offset from the most stable computed form is 0.00 eV/f.u. As for the electronic total energy: -10.657 eV/atom.

```
MoIrRu2
1.0
2.723 0.000 0.000
0.000 4.337 0.000
0.000 0.000 4.703
Mo Ir Ru
1 1 2
direct
0.000 0.000 0.000 Mo
0.500 0.500 0.173 Ir
0.000 0.500 0.668 Ru
0.500 0.000 0.514 Ru
```



First-principles (PBEsol) data for HfMgCr2F after structural relaxation, as listed in Alexandria.

Results
For the total magnetization, the calculation gives 8.0 μB/f.u. The formation energy from raw total energies is 0.505 eV per atom. As for the electronic total energy: -6.421 eV/atom.

```
HfMgCr2F
1.0
5.211 0.000 0.000
0.000 5.211 0.000
0.000 0.000 3.486
Hf Mg Cr F
1 1 2 1
direct
0.000 0.000 0.000 Hf
0.500 0.500 0.500 Mg
0.000 0.500 0.500 Cr
0.500 0.000 0.500 Cr
0.500 0.500 0.000 F
```